First-principles (GGA-PBE) data for a relaxed Ba3SmSn2O9 crystal, as listed in Alexandria.

Calculated values
Symmetry = No. 164
Total magnetization = 0.6 μB/f.u.

Lattice parameters (Å, degrees): 6.085 6.085 7.501 90.00 90.00 120.00
Element x y z (fractional)
Sn (0.667, 0.333, 0.838)
O (0.826, 0.174, 0.682)
O (0.500, 0.000, 0.000)
O (0.347, 0.174, 0.682)
Ba (0.667, 0.333, 0.327)
Ba (0.000, 0.000, 0.000)
O (0.653, 0.826, 0.318)
O (0.826, 0.653, 0.682)
Sm (0.000, 0.000, 0.500)
O (0.500, 0.500, 0.000)
Ba (0.333, 0.667, 0.673)
Sn (0.333, 0.667, 0.162)
O (0.000, 0.500, 0.000)
O (0.174, 0.347, 0.318)
O (0.174, 0.826, 0.318)

=====

First-principles (GGA-PBE) data for a relaxed Ba2SrSmO4 crystal, as listed in Alexandria.

Calculated values
Symmetry = No. 10
Total magnetization = 0.0 μB/f.u.

Lattice parameters (Å, degrees): 3.708 6.452 6.645 108.84 90.00 90.00
Element x y z (fractional)
O (0.500, 0.220, 0.205)
Sm (0.000, 0.000, 0.000)
Sr (0.500, 0.500, 0.000)
O (0.500, 0.780, 0.795)
Ba (0.500, 0.000, 0.500)
O (0.000, 0.242, 0.788)
O (0.000, 0.758, 0.212)
Ba (0.000, 0.500, 0.500)

=====

Record-wise energy relative to the elements, uncorrected values, in kJ/mol of atoms: -226.6 -253.5
Record-wise density of states at the Fermi level values, in states/eV/cell: 11.49 2.95
Record-wise electronic total energy values, in eV/f.u.: -98.35 -51.10